[1]
{"formula": "Ni2PtCl", "functional": "PBE-GGA", "state": "relaxed", "cell": [[-1.387, 2.462, 4.129], [1.387, -2.462, 4.129], [1.387, 2.462, -4.129]], "species": ["Ni", "Ni", "Pt", "Cl"], "frac_coords": [[0.234, 0.234, 0.000], [0.766, 0.766, 0.000], [0.500, 0.000, 0.500], [0.000, 0.500, 0.500]], "e_form_raw_ev_per_atom": 0.51, "space_group": "Immm", "magmom_total_mub_per_fu": 1.04, "e_above_lowest_polymorph_mev_per_atom": 467, "density_g_cm3": 10.2}

---

[2]
{"formula": "NiPt2Cl", "functional": "PBE-GGA", "state": "relaxed", "cell": [[1.409, -2.456, 0.000], [1.409, 2.456, 0.000], [0.000, 0.000, 9.321]], "species": ["Ni", "Pt", "Pt", "Cl"], "frac_coords": [[0.000, 0.000, 0.000], [0.000, 0.000, 0.482], [0.500, 0.500, 0.223], [0.500, 0.500, 0.816]], "e_form_raw_ev_per_atom": 0.24, "space_group": "Cmm2", "magmom_total_mub_per_fu": 0.55, "e_above_lowest_polymorph_mev_per_atom": 93, "density_g_cm3": 12.5}

---

[3]
{"formula": "Ni2PtCl", "functional": "PBE-GGA", "state": "relaxed", "cell": [[2.922, 0.000, 0.000], [0.000, 3.337, 0.000], [0.000, 0.000, 6.388]], "species": ["Ni", "Ni", "Pt", "Cl"], "frac_coords": [[0.000, 0.000, 0.204], [0.000, 0.000, 0.796], [0.500, 0.500, 0.000], [0.500, 0.000, 0.500]], "e_form_raw_ev_per_atom": 0.08, "space_group": "Pmmm", "magmom_total_mub_per_fu": 1.50, "e_above_lowest_polymorph_mev_per_atom": 31, "density_g_cm3": 9.3}

---

[4]
{"formula": "Ni2PtCl", "functional": "PBE-GGA", "state": "relaxed", "cell": [[-1.913, 1.913, 3.874], [1.913, -1.913, 3.874], [1.913, 1.913, -3.874]], "species": ["Ni", "Ni", "Pt", "Cl"], "frac_coords": [[0.000, 0.000, 0.000], [0.750, 0.250, 0.500], [0.250, 0.750, 0.500], [0.500, 0.500, 0.000]], "e_form_raw_ev_per_atom": 0.61, "space_group": "I-4m2", "magmom_total_mub_per_fu": 2.15, "e_above_lowest_polymorph_mev_per_atom": 560, "density_g_cm3": 10.2}

---

[5]
{"formula": "NiPtCl4", "functional": "PBE-GGA", "state": "relaxed", "cell": [[6.498, -1.659, 0.000], [6.498, 1.659, 0.000], [-2.268, 0.000, 8.206]], "species": ["Ni", "Pt", "Cl", "Cl", "Cl", "Cl"], "frac_coords": [[0.000, 0.000, 0.000], [0.500, 0.500, 0.500], [0.128, 0.128, 0.565], [0.384, 0.384, 0.950], [0.616, 0.616, 0.050], [0.872, 0.872, 0.435]], "e_form_raw_ev_per_atom": -0.40, "space_group": "C2/m", "magmom_total_mub_per_fu": 0.06, "e_above_lowest_polymorph_mev_per_atom": 0, "density_g_cm3": 3.7}

---

[6]
{"formula": "Rb2NiPtCl6", "functional": "PBE-GGA", "state": "relaxed", "cell": [[-3.567, 3.567, 4.547], [3.567, -3.567, 4.547], [3.567, 3.567, -4.547]], "species": ["Rb", "Rb", "Ni", "Pt", "Cl", "Cl", "Cl", "Cl", "Cl", "Cl"], "frac_coords": [[0.250, 0.750, 0.500], [0.750, 0.250, 0.500], [0.000, 0.000, 0.000], [0.500, 0.500, 0.000], [0.241, 0.241, 0.000], [0.251, 0.251, 0.501], [0.251, 0.749, 0.000], [0.749, 0.251, 0.000], [0.749, 0.749, 0.499], [0.759, 0.759, 0.000]], "e_form_raw_ev_per_atom": -0.97, "space_group": "I4/mmm", "magmom_total_mub_per_fu": 0.12, "density_g_cm3": 4.6}